[1]
Below is a relaxed Nd5Er4Zn crystal, with properties calculated at the PBE-GGA level.

Cell lengths 3.6378, 3.6378, 23.7040 Å; angles 90.00, 90.00, 90.00 degrees
Atoms (fractional coordinates):
Nd  0.0000  0.0000  0.0000
Nd  0.0000  0.0000  0.2101
Nd  0.0000  0.0000  0.4221
Nd  0.0000  0.0000  0.5779
Nd  0.0000  0.0000  0.7899
Er  0.5000  0.5000  0.1049
Er  0.5000  0.5000  0.3145
Er  0.5000  0.5000  0.6855
Er  0.5000  0.5000  0.8951
Zn  0.5000  0.5000  0.5000

Calculated values
* DFT formation energy: -0.0413 eV/atom
* ρ: 7706 kg/m3
* space-group type: P4/mmm (123)
* uncorrected energy: -43.8 eV/cell
* total magnetization: 0.00 Bohr magnetons per cell

***

[2]
Below is a relaxed Nd3ErZn8 crystal, with properties calculated at the PBE-GGA level.

Cell lengths 5.6545, 5.6545, 8.7159 Å; angles 90.00, 90.00, 120.00 degrees
Atoms (fractional coordinates):
Nd  0.0000  0.0000  0.0000
Nd  0.0000  0.0000  0.3953
Nd  0.3333  0.6667  0.8928
Er  0.3333  0.6667  0.5040
Zn  0.0011  0.5005  0.2021
Zn  0.3392  0.1696  0.6958
Zn  0.4995  0.5005  0.2021
Zn  0.4995  0.9989  0.2021
Zn  0.6667  0.3333  0.4459
Zn  0.6667  0.3333  0.9508
Zn  0.8304  0.1696  0.6958
Zn  0.8304  0.6608  0.6958

Calculated values
* offset from the most stable computed form: 0.19 eV/f.u.
* DFT formation energy: -0.3022 eV/atom
* ρ: 7729 kg/m3
* space-group type: P3m1 (156)
* uncorrected energy: -32.7 eV/cell
* total magnetization: 0.00 Bohr magnetons per cell

***

[3]
Below is a relaxed NdEr2Zn2 crystal, with properties calculated at the PBE-GGA level.

Cell lengths 8.1021, 8.1021, 6.2293 Å; angles 90.00, 90.00, 142.42 degrees
Atoms (fractional coordinates):
Nd  0.0845  0.9155  0.5000
Nd  0.9155  0.0845  0.0000
Er  0.2992  0.7008  0.2627
Er  0.4588  0.5412  0.6451
Er  0.5412  0.4588  0.1451
Er  0.7008  0.2992  0.7627
Zn  0.1285  0.8715  0.9951
Zn  0.2813  0.7187  0.7691
Zn  0.7187  0.2813  0.2691
Zn  0.8715  0.1285  0.4951

Calculated values
* offset from the most stable computed form: 0.31 eV/f.u.
* DFT formation energy: -0.1923 eV/atom
* ρ: 8117 kg/m3
* space-group type: Cmc2_1 (36)
* uncorrected energy: -34.8 eV/cell
* total magnetization: 0.00 Bohr magnetons per cell

***

[4]
Below is a relaxed NdEr2Zn9 crystal, with properties calculated at the PBE-GGA level.

Cell lengths 9.1396, 9.1396, 9.1396 Å; angles 34.74, 34.74, 34.74 degrees
Atoms (fractional coordinates):
Nd  0.0000  0.0000  0.0000
Er  0.1410  0.1410  0.1410
Er  0.8590  0.8590  0.8590
Zn  0.0766  0.5871  0.5871
Zn  0.3352  0.3352  0.3352
Zn  0.4129  0.4129  0.9234
Zn  0.4129  0.9234  0.4129
Zn  0.5000  0.5000  0.5000
Zn  0.5871  0.0766  0.5871
Zn  0.5871  0.5871  0.0766
Zn  0.6648  0.6648  0.6648
Zn  0.9234  0.4129  0.4129

Calculated values
* DFT formation energy: -0.3207 eV/atom
* ρ: 8011 kg/m3
* space-group type: R-3m (166)
* uncorrected energy: -29.2 eV/cell
* total magnetization: 0.00 Bohr magnetons per cell

***

[5]
Below is a relaxed Nd2Er3Zn2 crystal, with properties calculated at the PBE-GGA level.

Cell lengths 6.2363, 6.2363, 8.0960 Å; angles 115.00, 115.00, 44.64 degrees
Atoms (fractional coordinates):
Nd  0.1363  0.1363  0.2917
Nd  0.8637  0.8637  0.7083
Er  0.3656  0.3656  0.0376
Er  0.5000  0.5000  0.5000
Er  0.6344  0.6344  0.9624
Zn  0.1429  0.1429  0.6922
Zn  0.8571  0.8571  0.3078

Calculated values
* offset from the most stable computed form: 0.29 eV/f.u.
* DFT formation energy: -0.0905 eV/atom
* ρ: 7772 kg/m3
* space-group type: C2/m (12)
* uncorrected energy: -26.4 eV/cell
* total magnetization: 0.00 Bohr magnetons per cell

***

[6]
Below is a relaxed NdEr4Zn4 crystal, with properties calculated at the PBE-GGA level.

Cell lengths 7.1438, 7.1438, 7.1438 Å; angles 97.27, 97.27, 138.31 degrees
Atoms (fractional coordinates):
Nd  0.0000  0.0000  0.0000
Er  0.1061  0.6497  0.7558
Er  0.3503  0.1061  0.4565
Er  0.6497  0.8939  0.5435
Er  0.8939  0.3503  0.2442
Zn  0.3155  0.4194  0.7350
Zn  0.4194  0.6845  0.1039
Zn  0.5806  0.3155  0.8961
Zn  0.6845  0.5806  0.2650

Calculated values
* DFT formation energy: -0.1363 eV/atom
* ρ: 7877 kg/m3
* space-group type: I4/m (87)
* uncorrected energy: -29.3 eV/cell
* total magnetization: 0.00 Bohr magnetons per cell